# 1
Compound: LiYCl2
Source: Alexandria
Functional: GGA-PBE
Structure: optimized geometry

Properties
V: 24.09 Å³ per atom
Calculated total energy: -4.47 eV per atom
E_form (uncorrected): -1456 meV/atom
Offset from the most stable computed form: 49.7 meV/atom
ρ: 2.9 g/cm³

a = 3.561 Å, b = 3.630 Å, c = 7.672 Å
α = 76.36°, β = 90.00°, γ = 90.00°
Fractional coordinates of all 4 atoms:
Li (0.000, 0.633, 0.357)
Y (0.500, 0.942, 0.742)
Cl (0.000, 0.805, 0.017)
Cl (0.500, 0.120, 0.384)

# 2
Compound: LaPaSi2Tc
Source: Alexandria
Functional: GGA-PBE
Structure: optimized geometry

Properties
V: 21.39 Å³ per atom
Calculated total energy: -7.62 eV per atom
E_form (uncorrected): -494 meV/atom
ρ: 8.1 g/cm³

a = 4.127 Å, b = 4.127 Å, c = 6.925 Å
α = 107.34°, β = 107.34°, γ = 90.00°
Fractional coordinates of all 5 atoms:
La (0.000, 0.000, 0.000)
Pa (0.750, 0.250, 0.500)
Tc (0.250, 0.750, 0.500)
Si (0.596, 0.596, 0.193)
Si (0.404, 0.404, 0.807)

# 3
Compound: Rb2NpHgO5
Source: Alexandria
Functional: GGA-PBE
Structure: optimized geometry

Properties
V: 22.06 Å³ per atom
Calculated total energy: -6.27 eV per atom
E_form (uncorrected): -1824 meV/atom
ρ: 5.8 g/cm³

a = 4.454 Å, b = 7.377 Å, c = 7.422 Å
α = 119.80°, β = 107.46°, γ = 90.00°
Fractional coordinates of all 9 atoms:
Hg (0.000, 0.500, 0.000)
Rb (0.250, 0.250, 0.500)
Rb (0.750, 0.750, 0.500)
O (0.384, 0.707, 0.768)
O (0.616, 0.293, 0.232)
O (0.000, 0.000, 0.000)
O (0.384, 0.061, 0.768)
O (0.616, 0.939, 0.232)
Np (0.500, 0.000, 0.000)

# 4
Compound: CaCuAs2Br
Source: Alexandria
Functional: GGA-PBE
Structure: optimized geometry

Properties
V: 32.91 Å³ per atom
Calculated total energy: -2.76 eV per atom
E_form (uncorrected): 653 meV/atom
Offset from the most stable computed form: 879.8 meV/atom
ρ: 3.4 g/cm³

a = 5.514 Å, b = 5.514 Å, c = 5.412 Å
α = 90.00°, β = 90.00°, γ = 90.00°
Fractional coordinates of all 5 atoms:
Ca (0.000, 0.000, 0.000)
Br (0.000, 0.000, 0.500)
As (0.500, 0.000, 0.000)
As (0.000, 0.500, 0.000)
Cu (0.500, 0.500, 0.500)

# 5
Compound: CeRe5
Source: Alexandria
Functional: GGA-PBE
Structure: optimized geometry

Properties
V: 16.98 Å³ per atom
Calculated total energy: -11.02 eV per atom
Formation energy: 347 meV/atom
ρ: 17.5 g/cm³

a = 2.893 Å, b = 4.714 Å, c = 7.836 Å
α = 107.50°, β = 90.00°, γ = 90.00°
Fractional coordinates of all 6 atoms:
Re (0.500, 0.194, 0.389)
Re (0.500, 0.500, 0.000)
Re (0.000, 0.655, 0.310)
Re (0.000, 0.345, 0.690)
Re (0.500, 0.806, 0.611)
Ce (0.000, 0.000, 0.000)

# 6
Compound: Ca2TlIr
Source: Alexandria
Functional: GGA-PBE
Structure: optimized geometry

Properties
V: 26.47 Å³ per atom
Calculated total energy: -4.01 eV per atom
Formation energy: -200 meV/atom
Offset from the most stable computed form: 94.2 meV/atom
ρ: 7.5 g/cm³

a = 7.024 Å, b = 7.024 Å, c = 7.024 Å
α = 152.03°, β = 139.15°, γ = 50.24°
Fractional coordinates of all 4 atoms:
Ca (0.689, 0.189, 0.500)
Ca (0.994, 0.994, 0.000)
Ir (0.499, 0.499, 0.000)
Tl (0.317, 0.817, 0.500)

# 7
Compound: TePt3
Source: Alexandria
Functional: GGA-PBE
Structure: optimized geometry

Properties
V: 17.81 Å³ per atom
Calculated total energy: -5.22 eV per atom
E_form (uncorrected): 93 meV/atom
ρ: 16.6 g/cm³

a = 4.541 Å, b = 4.541 Å, c = 3.567 Å
α = 90.00°, β = 90.00°, γ = 104.49°
Fractional coordinates of all 4 atoms:
Pt (0.500, 0.000, 0.500)
Pt (0.500, 0.500, 0.000)
Pt (0.000, 0.500, 0.500)
Te (0.000, 0.000, 0.000)

# 8
Compound: Pm4S3O
Source: Alexandria
Functional: GGA-PBE
Structure: optimized geometry

Properties
V: 21.62 Å³ per atom
Calculated total energy: -6.60 eV per atom
E_form (uncorrected): -2061 meV/atom
ρ: 6.6 g/cm³

a = 5.571 Å, b = 5.571 Å, c = 5.571 Å
α = 90.00°, β = 90.00°, γ = 90.00°
Fractional coordinates of all 8 atoms:
S (0.000, 0.500, 0.500)
S (0.500, 0.000, 0.500)
S (0.500, 0.500, 0.000)
Pm (0.500, 0.500, 0.500)
Pm (0.000, 0.000, 0.500)
Pm (0.000, 0.500, 0.000)
Pm (0.500, 0.000, 0.000)
O (0.000, 0.000, 0.000)